This record from the Alexandria database describes a geometry-optimized MgZr3Cl structure. The functional is PBEsol.

Formation energy from raw total energies = -0.69 eV per formula unit
Magnetic moment = 0.00 μB/f.u.

Cell: 4.7757 4.7757 4.7757 Å, 90.00 90.00 90.00°
Space group Pm-3m (No. 221)
Asymmetric unit:
Mg 0.0000 0.0000 0.0000 x1
Zr 0.0000 0.5000 0.5000 x3
Cl 0.5000 0.5000 0.5000 x1

***

This record from the Alexandria database describes a geometry-optimized Mn2Cl structure. The functional is PBEsol.

Formation energy from raw total energies = 2.24 eV per formula unit
Magnetic moment = 8.98 μB/f.u.

Cell: 7.6432 7.6432 7.6432 Å, 90.00 90.00 90.00°
Space group Fd-3m (No. 227, origin choice 2)
Asymmetric unit:
Mn 0.0000 0.0000 0.0000 x16
Cl 0.1250 0.1250 0.6250 x8

***

This record from the Alexandria database describes a geometry-optimized MnCl3 structure. The functional is PBEsol.

Formation energy from raw total energies = -2.22 eV per formula unit
Magnetic moment = 5.00 μB/f.u.

Cell: 6.4320 17.1997 4.0920 Å, 90.00 90.00 90.00°
Space group Cmcm (No. 63)
Asymmetric unit:
Mn 0.0000 0.2197 0.2500 x4
Cl 0.0000 0.0191 0.2500 x4
Cl 0.2387 0.1755 0.7500 x8

***

Look up the formation energy from raw total energies of the third one. -2.22 eV per formula unit

***

What is the magnetic moment in the third record? 5.00 μB/f.u.